Compound: MgGa2Sb2
Source: the Alexandria database
Functional: PBE
Structure: optimized geometry

Results
Density of states at the Fermi level in states/eV/atom: 0.419
Total moment in μB per formula unit: 0.00
Uncorrected formation energy in eV/atom: 0.034
V in Å³/f.u.: 124

Cell lengths 5.677, 5.677, 5.677 Å; angles 122.60, 122.60, 85.55 degrees
Fractional positions:
1 Mg 0.000 0.000 0.000
2 Ga 0.351 0.351 0.000
3 Ga 0.649 0.649 0.000
4 Sb 0.250 0.750 0.500
5 Sb 0.750 0.250 0.500